(1)
Compound: Zr2AlCo
Source: Alexandria
Functional: GGA-PBE
Structure: relaxed

Structure (extended XYZ):
```
8
Lattice="-0.747 4.600 5.693 3.265 -4.912 4.398 3.763 0.981 4.455" Properties=species:S:1:pos:R:3 pbc="T T T"
Co 0.000 0.000 0.000
Co 2.137 2.713 7.596
Al 1.259 -0.156 5.045
Al 4.143 -2.043 6.949
Zr 0.844 2.737 5.507
Zr 2.925 -2.481 4.288
Zr 3.603 0.866 6.904
Zr 5.189 0.216 12.391
```

## Properties
* raw total energy: -6.961 eV per atom
* total magnetization: 0.0 μB per cell
* SG: I-42d, No. 122

(2)
Compound: Zr2Al8Co
Source: Alexandria
Functional: GGA-PBE
Structure: relaxed

Structure (extended XYZ):
```
11
Lattice="4.113 0.000 0.000 0.000 4.113 0.000 0.000 0.000 10.796" Properties=species:S:1:pos:R:3 pbc="T T T"
Zr 0.000 0.000 3.373
Zr 0.000 0.000 7.422
Al 0.000 2.057 5.398
Al 2.057 0.000 5.398
Al 2.057 2.057 3.324
Al 2.057 2.057 7.471
Al 0.000 2.057 1.304
Al 2.057 0.000 1.304
Al 0.000 2.057 9.492
Al 2.057 0.000 9.492
Co 0.000 0.000 0.000
```

## Properties
* raw total energy: -5.409 eV per atom
* total magnetization: 0.0 μB per cell
* SG: P4/mmm, No. 123

(3)
Compound: ZrAlCo2
Source: Alexandria
Functional: GGA-PBE
Structure: relaxed

Structure (extended XYZ):
```
4
Lattice="8.796 -0.008 -0.005 8.341 2.792 -0.005 8.341 1.355 2.441" Properties=species:S:1:pos:R:3 pbc="T T T"
Co 25.398 4.125 2.424
Co 6.668 1.083 0.636
Al 18.793 3.052 1.793
Zr 12.837 2.085 1.225
```

## Properties
* raw total energy: -6.499 eV per atom
* total magnetization: 2.8 μB per cell
* SG: R3m, No. 160

(4)
Compound: ZrAlCo2
Source: Alexandria
Functional: GGA-PBE
Structure: relaxed

Structure (extended XYZ):
```
8
Lattice="6.597 0.000 0.000 0.000 6.597 0.000 3.299 3.299 2.803" Properties=species:S:1:pos:R:3 pbc="T T T"
Co 4.807 1.649 0.701
Co 1.790 4.948 0.701
Co 4.948 5.089 2.102
Co 8.247 8.106 2.102
Al 3.299 3.299 0.000
Al 3.299 6.597 1.401
Zr 0.000 0.000 0.000
Zr 6.597 3.299 1.401
```

## Properties
* raw total energy: -6.504 eV per atom
* total magnetization: 0.0 μB per cell
* SG: I-42d, No. 122